# PmNd6Ho3 (PBE, optimized geometry)
# formation energy: 0.125 eV per atom
# ΔE to the lowest computed polymorph: 0 meV/atom
data_PmNd6Ho3
_cell_length_a 9.839
_cell_length_b 21.466
_cell_length_c 6.487
_cell_angle_alpha 90.00
_cell_angle_beta 90.00
_cell_angle_gamma 90.00
_symmetry_space_group_name_H-M 'C m c 21'
_symmetry_Int_Tables_number 36
loop_
_symmetry_equiv_pos_as_xyz
'x,y,z'
'-x,-y,z+1/2'
'-x,y,z'
'x,-y,z+1/2'
'x+1/2,y+1/2,z'
'-x+1/2,-y+1/2,z+1/2'
'-x+1/2,y+1/2,z'
'x+1/2,-y+1/2,z+1/2'
loop_
_atom_site_label
_atom_site_fract_x
_atom_site_fract_y
_atom_site_fract_z
Pm1 0.000 0.157 0.000
Nd1 0.000 0.015 0.212
Nd2 0.000 0.300 0.208
Nd3 0.174 0.281 0.684
Nd4 0.179 0.441 0.433
Ho1 0.000 0.419 0.914
Ho2 0.168 0.127 0.522

---

# SrSn2Pt2 (PBE, optimized geometry)
# formation energy: -0.420 eV per atom
data_SrSn2Pt2
_cell_length_a 8.294
_cell_length_b 8.294
_cell_length_c 3.223
_cell_angle_alpha 90.00
_cell_angle_beta 90.00
_cell_angle_gamma 90.00
_symmetry_space_group_name_H-M 'P 4/m b m'
_symmetry_Int_Tables_number 127
_symmetry_space_group_name_Hall '-P 4 2ab'
loop_
_atom_site_label
_atom_site_fract_x
_atom_site_fract_y
_atom_site_fract_z
Sr1 0.000 0.000 0.000
Sn1 0.134 0.366 0.000
Pt1 0.161 0.661 0.500

---

# LaMo (PBE, optimized geometry)
# formation energy: 2.192 eV per atom
# ΔE to the lowest computed polymorph: 1951 meV/atom
data_LaMo
_cell_length_a 7.965
_cell_length_b 7.965
_cell_length_c 7.965
_cell_angle_alpha 90.00
_cell_angle_beta 90.00
_cell_angle_gamma 90.00
_symmetry_space_group_name_H-M 'P m -3 n'
_symmetry_Int_Tables_number 223
_symmetry_space_group_name_Hall '-P 4n 2 3'
loop_
_atom_site_label
_atom_site_fract_x
_atom_site_fract_y
_atom_site_fract_z
La1 0.000 0.250 0.500
Mo1 0.000 0.500 0.250

---

# Ga3SiTe (PBE, optimized geometry)
# formation energy from raw total energies: 4.96 eV per formula unit
# ΔE to the lowest computed polymorph: 859 meV/atom
data_Ga3SiTe
_cell_length_a 5.382
_cell_length_b 5.382
_cell_length_c 5.382
_cell_angle_alpha 90.00
_cell_angle_beta 90.00
_cell_angle_gamma 90.00
_symmetry_space_group_name_H-M 'P m -3 m'
_symmetry_Int_Tables_number 221
_symmetry_space_group_name_Hall '-P 4 2 3'
loop_
_atom_site_label
_atom_site_fract_x
_atom_site_fract_y
_atom_site_fract_z
Ga1 0.000 0.000 0.500
Si1 0.500 0.500 0.500
Te1 0.000 0.000 0.000

---

# Tb2PrY7 (PBE, optimized geometry)
# formation energy: 0.216 eV per atom
# ΔE to the lowest computed polymorph: 0 meV/atom
data_Tb2PrY7
_cell_length_a 6.501
_cell_length_b 29.614
_cell_length_c 3.460
_cell_angle_alpha 90.00
_cell_angle_beta 90.00
_cell_angle_gamma 90.00
_symmetry_space_group_name_H-M 'C m m m'
_symmetry_Int_Tables_number 65
_symmetry_space_group_name_Hall '-C 2 2'
loop_
_atom_site_label
_atom_site_fract_x
_atom_site_fract_y
_atom_site_fract_z
Tb1 0.000 0.206 0.000
Pr1 0.000 0.000 0.500
Y1 0.000 0.310 0.500
Y2 0.000 0.500 0.000
Y3 0.247 0.101 0.000

---

# Tl3Si2Au7 (PBE, optimized geometry)
# formation energy from raw total energies: -0.01 eV per formula unit
data_Tl3Si2Au7
_cell_length_a 4.664
_cell_length_b 28.644
_cell_length_c 4.006
_cell_angle_alpha 90.00
_cell_angle_beta 91.13
_cell_angle_gamma 90.00
_symmetry_space_group_name_H-M 'C 1 2/m 1'
_symmetry_Int_Tables_number 12
loop_
_symmetry_equiv_pos_as_xyz
'x,y,z'
'-x,-y,-z'
'-x,y,-z'
'x,-y,z'
'x+1/2,y+1/2,z'
'-x+1/2,-y+1/2,-z'
'-x+1/2,y+1/2,-z'
'x+1/2,-y+1/2,z'
loop_
_atom_site_label
_atom_site_fract_x
_atom_site_fract_y
_atom_site_fract_z
Tl1 0.000 0.000 0.000
Tl2 0.000 0.204 0.000
Si1 0.000 0.416 0.500
Au1 0.000 0.113 0.500
Au2 0.000 0.289 0.500
Au3 0.000 0.365 0.000
Au4 0.000 0.500 0.500

---

# YLuMg (PBE, optimized geometry)
# formation energy: 0.053 eV per atom
# ΔE to the lowest computed polymorph: 90 meV/atom
data_YLuMg
_cell_length_a 5.4031
_cell_length_b 5.4031
_cell_length_c 3.3694
_cell_angle_alpha 90.00
_cell_angle_beta 90.00
_cell_angle_gamma 120.00
_symmetry_space_group_name_H-M 'P 3 m 1'
_symmetry_Int_Tables_number 156
loop_
_symmetry_equiv_pos_as_xyz
'x,y,z'
'-y,x-y,z'
'-x+y,-x,z'
'-y,-x,z'
'-x+y,y,z'
'x,x-y,z'
loop_
_atom_site_label
_atom_site_fract_x
_atom_site_fract_y
_atom_site_fract_z
Y1 0.0000 0.0000 0.0000
Lu1 0.3333 0.6667 0.4242
Mg1 0.6667 0.3333 0.6858

---

# Ba2AlAgH (PBE, optimized geometry)
# E_tot: -14.53 eV per formula unit
data_Ba2AlAgH
_cell_length_a 5.777
_cell_length_b 5.777
_cell_length_c 4.179
_cell_angle_alpha 90.00
_cell_angle_beta 90.00
_cell_angle_gamma 90.00
_symmetry_space_group_name_H-M 'P 4/m m m'
_symmetry_Int_Tables_number 123
_symmetry_space_group_name_Hall '-P 4 2'
loop_
_atom_site_label
_atom_site_fract_x
_atom_site_fract_y
_atom_site_fract_z
Ba1 0.000 0.500 0.000
Al1 0.000 0.000 0.500
Ag1 0.500 0.500 0.500
H1 0.000 0.000 0.000

---

# Ta2Co (PBE, optimized geometry)
# formation energy: -0.006 eV per atom
data_Ta2Co
_cell_length_a 5.771
_cell_length_b 4.590
_cell_length_c 7.236
_cell_angle_alpha 90.00
_cell_angle_beta 90.00
_cell_angle_gamma 90.00
_symmetry_space_group_name_H-M 'P n m a'
_symmetry_Int_Tables_number 62
loop_
_symmetry_equiv_pos_as_xyz
'x,y,z'
'-x,-y,-z'
'-x+1/2,-y,z+1/2'
'x+1/2,y,-z+1/2'
'x+1/2,-y+1/2,-z+1/2'
'-x+1/2,y+1/2,z+1/2'
'-x,y+1/2,-z'
'x,-y+1/2,z'
loop_
_atom_site_label
_atom_site_fract_x
_atom_site_fract_y
_atom_site_fract_z
Ta1 0.011 0.250 0.205
Ta2 0.176 0.250 0.584
Co1 0.244 0.750 0.423

---

# K3Tl2Hg (PBE, optimized geometry)
# formation energy: -0.096 eV per atom
data_K3Tl2Hg
_cell_length_a 9.580
_cell_length_b 11.501
_cell_length_c 10.966
_cell_angle_alpha 90.00
_cell_angle_beta 123.75
_cell_angle_gamma 90.00
_symmetry_space_group_name_H-M 'P 1 21/c 1'
_symmetry_Int_Tables_number 14
loop_
_symmetry_equiv_pos_as_xyz
'x,y,z'
'-x,-y,-z'
'-x,y+1/2,-z+1/2'
'x,-y+1/2,z+1/2'
loop_
_atom_site_label
_atom_site_fract_x
_atom_site_fract_y
_atom_site_fract_z
K1 0.222 0.159 0.213
K2 0.256 0.526 0.150
K3 0.262 0.640 0.516
Tl1 0.020 0.627 0.710
Tl2 0.415 0.618 0.903
Hg1 0.380 0.146 0.994

---

# Pt2PbF11 (PBE, optimized geometry)
# formation energy from raw total energies: -21.09 eV per formula unit
data_Pt2PbF11
_cell_length_a 9.154
_cell_length_b 9.199
_cell_length_c 10.785
_cell_angle_alpha 90.00
_cell_angle_beta 90.00
_cell_angle_gamma 90.00
_symmetry_space_group_name_H-M 'I b a m'
_symmetry_Int_Tables_number 72
_symmetry_space_group_name_Hall '-I 2 2c'
loop_
_atom_site_label
_atom_site_fract_x
_atom_site_fract_y
_atom_site_fract_z
Pt1 0.157 0.158 0.000
Pb1 0.000 0.500 0.250
F1 0.000 0.000 0.000
F2 0.052 0.265 0.128
F3 0.198 0.197 0.500
F4 0.235 0.447 0.372

---

# Ba6Si2Bi (PBE, optimized geometry)
# formation energy from raw total energies: -4.03 eV per formula unit
data_Ba6Si2Bi
_cell_length_a 10.993
_cell_length_b 11.613
_cell_length_c 11.968
_cell_angle_alpha 90.00
_cell_angle_beta 90.00
_cell_angle_gamma 90.00
_symmetry_space_group_name_H-M 'I m m m'
_symmetry_Int_Tables_number 71
_symmetry_space_group_name_Hall '-I 2 2'
loop_
_atom_site_label
_atom_site_fract_x
_atom_site_fract_y
_atom_site_fract_z
Ba1 0.000 0.213 0.223
Ba2 0.201 0.500 0.180
Ba3 0.214 0.316 0.500
Si1 0.000 0.392 0.000
Si2 0.000 0.500 0.397
Bi1 0.000 0.000 0.000
Bi2 0.000 0.000 0.500